A relaxed TlAg4As2 crystal. Source: Alexandria, functional PBE-GGA.

abc: 4.4282 15.1138 4.5000
angles: 90.00 90.00 90.00
Space group Cmmm (No. 65)
Asymmetric unit:
Tl: 0.0000 0.0000 0.0000 x2
Ag: 0.0000 0.1872 0.5000 x4
Ag: 0.0000 0.3157 0.0000 x4
As: 0.0000 0.4150 0.5000 x4

As for the total energy: -3.220 eV/atom. For the calculated volume, the calculation gives 301 Å³/cell.